Below is crystalline Cd3GaOs at its relaxed geometry, with properties calculated at the GGA-PBE level.

extended XYZ file:
```
5
Lattice="5.214 0.000 0.000 0.000 5.214 0.000 0.000 0.000 5.214" Properties=species:S:1:pos:R:3 pbc="T T T"
Cd 0.000 0.000 2.607
Cd 0.000 2.607 0.000
Cd 2.607 0.000 0.000
Ga 2.607 2.607 2.607
Os 0.000 0.000 0.000
```

## Properties
Formation enthalpy at 0 K, eV per atom: 0.7705
Distance to the lowest polymorph of the same formula, eV/atom: 0.000
Space group: No. 221
Crystal system: cubic

---

Below is crystalline TiAlSn2Os at its relaxed geometry, with properties calculated at the GGA-PBE level.

extended XYZ file:
```
5
Lattice="5.119 0.000 0.000 0.000 5.119 0.000 0.000 0.000 4.836" Properties=species:S:1:pos:R:3 pbc="T T T"
Ti 0.000 0.000 0.000
Al 0.000 0.000 2.418
Sn 0.000 2.559 0.000
Sn 2.559 0.000 0.000
Os 2.559 2.559 2.418
```

## Properties
Formation enthalpy at 0 K, eV per atom: 1.4503
Space group: No. 123
Crystal system: tetragonal

---

Below is crystalline Al5Ag7 at its relaxed geometry, with properties calculated at the GGA-PBE level.

extended XYZ file:
```
12
Lattice="8.565 0.000 0.000 0.000 2.954 0.000 -2.949 0.000 8.110" Properties=species:S:1:pos:R:3 pbc="T T T"
Al 0.000 0.000 0.000
Al -1.983 0.000 5.507
Al -0.507 1.477 7.467
Al 6.123 1.477 0.642
Al 7.599 0.000 2.603
Ag 0.224 1.477 4.679
Ag 1.334 1.477 1.936
Ag 1.777 0.000 6.752
Ag 2.808 0.000 4.055
Ag 3.839 0.000 1.357
Ag 4.282 1.477 6.173
Ag 5.393 1.477 3.430
```

## Properties
Formation enthalpy at 0 K, eV per atom: -0.0237
Distance to the lowest polymorph of the same formula, eV/atom: 0.025
Space group: No. 10
Crystal system: monoclinic

---

Below is crystalline CsZrHgI6 at its relaxed geometry, with properties calculated at the GGA-PBE level.

extended XYZ file:
```
9
Lattice="7.843 0.000 0.000 -2.984 7.450 0.000 -0.929 -2.164 7.707" Properties=species:S:1:pos:R:3 pbc="T T T"
Cs 0.000 0.000 0.000
Zr -1.265 3.796 3.646
Hg 3.940 0.193 3.825
I -0.037 5.574 1.718
I 1.019 2.112 3.402
I -0.060 5.370 5.775
I 5.170 2.256 1.651
I 4.262 5.510 3.751
I 5.478 2.073 5.711
```

## Properties
Space group: No. 1
Raw formation energy, eV/atom: -0.86
Crystal system: triclinic

---

Below is crystalline PaSiB at its relaxed geometry, with properties calculated at the GGA-PBE level.

extended XYZ file:
```
12
Lattice="6.053 0.000 0.000 0.000 4.219 0.000 0.000 0.000 7.432" Properties=species:S:1:pos:R:3 pbc="T T T"
Pa 0.799 1.055 1.225
Pa 2.227 3.165 4.941
Pa 3.825 1.055 2.492
Pa 5.254 3.165 6.208
Si 0.075 1.055 4.340
Si 2.951 3.165 0.624
Si 3.101 1.055 6.809
Si 5.977 3.165 3.093
B 1.062 1.055 6.095
B 1.964 3.165 2.379
B 4.088 1.055 5.054
B 4.991 3.165 1.338
```

## Properties
Distance to the lowest polymorph of the same formula, eV/atom: 0.330
Space group: No. 62
Raw formation energy, eV/atom: -0.25
Crystal system: orthorhombic

---

Below is crystalline Ac6BiPt3 at its relaxed geometry, with properties calculated at the GGA-PBE level.

extended XYZ file:
```
20
Lattice="12.879 0.000 0.000 0.000 4.527 0.000 -4.063 0.000 12.401" Properties=species:S:1:pos:R:3 pbc="T T T"
Ac -1.279 1.132 4.816
Ac -2.425 1.132 11.771
Ac 1.655 3.396 3.257
Ac 0.671 3.396 9.464
Ac 2.402 1.132 6.671
Ac 5.067 3.396 1.102
Ac 3.749 1.132 11.300
Ac 6.414 3.396 5.730
Ac 8.145 1.132 2.938
Ac 7.161 1.132 9.144
Ac 11.241 3.396 0.630
Ac 10.096 3.396 7.586
Bi 4.471 1.132 3.856
Bi 4.345 3.396 8.545
Pt -0.054 1.132 2.016
Pt 0.270 3.396 6.135
Pt 0.709 1.132 11.424
Pt 8.107 3.396 0.977
Pt 8.546 1.132 6.266
Pt 8.870 3.396 10.385
```

## Properties
Formation enthalpy at 0 K, eV per atom: -0.9142
Space group: No. 11
Crystal system: monoclinic

---

Below is crystalline Mg2Ga5 at its relaxed geometry, with properties calculated at the GGA-PBE level.

extended XYZ file:
```
14
Lattice="9.590 0.000 0.000 0.000 4.191 0.000 -0.905 0.000 6.592" Properties=species:S:1:pos:R:3 pbc="T T T"
Mg 0.519 0.000 1.459
Mg 3.371 2.095 5.133
Mg 5.315 2.095 1.459
Mg 8.166 0.000 5.133
Ga -0.453 2.095 3.296
Ga 0.521 2.095 6.089
Ga 1.464 0.000 4.278
Ga 2.426 2.095 2.314
Ga 3.370 0.000 0.503
Ga 4.343 0.000 3.296
Ga 5.316 0.000 6.089
Ga 6.260 2.095 4.278
Ga 7.221 0.000 2.314
Ga 8.165 2.095 0.503
```

## Properties
Formation enthalpy at 0 K, eV per atom: -0.0955
Distance to the lowest polymorph of the same formula, eV/atom: 0.034
Space group: No. 12
Crystal system: monoclinic

---

Below is crystalline CdGeAu4 at its relaxed geometry, with properties calculated at the GGA-PBE level.

extended XYZ file:
```
12
Lattice="5.045 0.000 0.000 -0.299 5.061 0.000 -2.308 -2.585 8.811" Properties=species:S:1:pos:R:3 pbc="T T T"
Cd 1.069 1.450 0.001
Cd 1.369 1.027 8.809
Ge -1.304 1.238 4.405
Ge 1.369 -1.293 4.405
Au -1.232 -1.164 5.838
Au -1.170 1.412 7.317
Au 1.155 3.983 1.493
Au 1.112 1.391 2.975
Au 1.326 1.085 5.836
Au 1.283 -1.507 7.318
Au 3.609 1.064 1.493
Au 3.670 3.641 2.973
```

## Properties
Formation enthalpy at 0 K, eV per atom: -0.0582
Distance to the lowest polymorph of the same formula, eV/atom: 0.000
Space group: No. 2
Crystal system: triclinic

---

Across the entries above, M_tot takes the values 0.01, 2.13, 0.00, 0.00, 0.00, 0.00, 0.00, 0.00 μB per cell, respectively.
Across the entries above, total energy takes the values -2.630, -4.724, -3.246, -2.974, -7.450, -5.580, -2.713, -3.165 eV per atom, respectively.